[1]
The following is a PBE-GGA calculation of a relaxed structure of ErZrF7, from Alexandria via LeMat-Bulk.

Lattice parameters (Å, degrees): 6.063 5.814 8.280 90.00 103.31 90.00
Space group P2_1 (No. 4)
One atom of each set of equivalent atoms:
Er 0.150 0.000 0.187 [2 per cell]
Zr 0.319 0.003 0.726 [2 per cell]
F 0.015 0.733 0.007 [2 per cell]
F 0.079 0.752 0.708 [2 per cell]
F 0.093 0.269 0.709 [2 per cell]
F 0.268 0.001 0.474 [2 per cell]
F 0.363 0.003 0.977 [2 per cell]
F 0.426 0.265 0.255 [2 per cell]
F 0.428 0.742 0.260 [2 per cell]

formation energy without anion corrections = -3.91 eV/atom

[2]
The following is a PBE-GGA calculation of a relaxed structure of ZrTaTl2O6, from Alexandria via LeMat-Bulk.

Lattice parameters (Å, degrees): 8.289 8.289 8.289 90.00 90.00 90.00
Space group Fm-3m (No. 225)
One atom of each set of equivalent atoms:
Zr 0.000 0.000 0.000 [4 per cell]
Ta 0.000 0.000 0.500 [4 per cell]
Tl 0.250 0.250 0.250 [8 per cell]
O 0.000 0.000 0.257 [24 per cell]

formation energy without anion corrections = -2.16 eV/atom

[3]
The following is a PBE-GGA calculation of a relaxed structure of LiPmScSb, from Alexandria via LeMat-Bulk.

Lattice parameters (Å, degrees): 7.238 7.238 7.238 90.00 90.00 90.00
Space group F-43m (No. 216)
One atom of each set of equivalent atoms:
Li 0.000 0.000 0.000 [4 per cell]
Pm 0.250 0.250 0.250 [4 per cell]
Sc 0.250 0.250 0.750 [4 per cell]
Sb 0.000 0.000 0.500 [4 per cell]

formation energy without anion corrections = -0.43 eV/atom

[4]
The following is a PBE-GGA calculation of a relaxed structure of Zn2Cd2Pb, from Alexandria via LeMat-Bulk.

Lattice parameters (Å, degrees): 8.322 8.322 3.178 90.00 90.00 90.00
Space group P4/mbm (No. 127)
One atom of each set of equivalent atoms:
Zn 0.114 0.386 0.000 [4 per cell]
Cd 0.181 0.681 0.500 [4 per cell]
Pb 0.000 0.000 0.000 [2 per cell]

ΔE_f = 0.52 eV/f.u.

[5]
The following is a PBE-GGA calculation of a relaxed structure of CuGe3Se, from Alexandria via LeMat-Bulk.

Lattice parameters (Å, degrees): 4.737 4.737 4.737 90.00 90.00 90.00
Space group Pm-3m (No. 221)
One atom of each set of equivalent atoms:
Cu 0.000 0.000 0.000 [1 per cell]
Ge 0.000 0.000 0.500 [3 per cell]
Se 0.500 0.500 0.500 [1 per cell]

formation energy without anion corrections = 0.37 eV/atom

[6]
The following is a PBE-GGA calculation of a relaxed structure of LiSmHo2, from Alexandria via LeMat-Bulk.

Lattice parameters (Å, degrees): 3.5158 3.5158 33.5991 90.00 90.00 120.00
Space group R3m (No. 160, hexagonal axes)
One atom of each set of equivalent atoms:
Li 0.0000 0.0000 0.0000 [3 per cell]
Sm 0.0000 0.0000 0.1666 [3 per cell]
Ho 0.0000 0.0000 0.4136 [3 per cell]
Ho 0.0000 0.0000 0.5862 [3 per cell]

ΔE_f = 0.45 eV/f.u.

[7]
The following is a PBE-GGA calculation of a relaxed structure of Na2NpBe2O6, from Alexandria via LeMat-Bulk.

Lattice parameters (Å, degrees): 5.3252 5.3252 6.0059 90.00 90.00 120.00
Space group P-3 (No. 147)
One atom of each set of equivalent atoms:
Na 0.3333 0.6667 0.3498 [2 per cell]
Np 0.0000 0.0000 0.0000 [1 per cell]
Be 0.3333 0.6667 0.8225 [2 per cell]
O 0.0787 0.7268 0.7997 [6 per cell]

formation energy without anion corrections = -2.38 eV/atom

[8]
The following is a PBE-GGA calculation of a relaxed structure of TeIrOsPb, from Alexandria via LeMat-Bulk.

Lattice parameters (Å, degrees): 3.002 5.045 11.140 90.00 90.00 90.00
Space group Imm2 (No. 44)
One atom of each set of equivalent atoms:
Te 0.000 0.000 0.000 [2 per cell]
Ir 0.000 0.000 0.757 [2 per cell]
Os 0.000 0.500 0.068 [2 per cell]
Pb 0.000 0.000 0.324 [2 per cell]

formation energy without anion corrections = 0.55 eV/atom

[9]
The following is a PBE-GGA calculation of a relaxed structure of Ac2TeO, from Alexandria via LeMat-Bulk.

Lattice parameters (Å, degrees): 3.702 3.702 7.611 90.00 90.00 90.00
Space group P4/mmm (No. 123)
One atom of each set of equivalent atoms:
Ac 0.000 0.000 0.225 [2 per cell]
Te 0.500 0.500 0.500 [1 per cell]
O 0.500 0.500 0.000 [1 per cell]

formation energy without anion corrections = -1.36 eV/atom

[10]
The following is a PBE-GGA calculation of a relaxed structure of Ba4AlHg, from Alexandria via LeMat-Bulk.

Lattice parameters (Å, degrees): 10.260 10.260 10.260 90.00 90.00 90.00
Space group F-43m (No. 216)
One atom of each set of equivalent atoms:
Ba 0.125 0.125 0.125 [16 per cell]
Al 0.000 0.000 0.500 [4 per cell]
Hg 0.250 0.250 0.750 [4 per cell]

ΔE_f = 2.54 eV/f.u.

[11]
The following is a PBE-GGA calculation of a relaxed structure of YPu4N5, from Alexandria via LeMat-Bulk.

Lattice parameters (Å, degrees): 7.788 7.788 4.933 90.00 90.00 90.00
Space group I4/m (No. 87)
One atom of each set of equivalent atoms:
Y 0.000 0.000 0.000 [2 per cell]
Pu 0.100 0.299 0.500 [8 per cell]
N 0.000 0.000 0.500 [2 per cell]
N 0.100 0.305 0.000 [8 per cell]

formation energy without anion corrections = -1.34 eV/atom

[12]
The following is a PBE-GGA calculation of a relaxed structure of La3Pm2Sc, from Alexandria via LeMat-Bulk.

Lattice parameters (Å, degrees): 6.693 18.137 3.430 90.00 90.00 90.00
Space group Pnnm (No. 58)
One atom of each set of equivalent atoms:
La 0.000 0.000 0.000 [2 per cell]
La 0.249 0.185 0.500 [4 per cell]
Pm 0.250 0.357 0.000 [4 per cell]
Sc 0.000 0.500 0.000 [2 per cell]

ΔE_f = 1.48 eV/f.u.

Number 1: ρ 4.58 Mg/m³, spin magnetization 0.12 μB/cell. Number 2: ρ 9.06 Mg/m³, spin magnetization 0.00 μB/cell. Number 3: ρ 5.58 Mg/m³, spin magnetization 0.00 μB/cell. Number 4: ρ 8.49 Mg/m³, spin magnetization 0.00 μB/cell. Number 5: ρ 5.63 Mg/m³, spin magnetization 0.00 μB/cell. Number 6: ρ 6.75 Mg/m³, spin magnetization 0.00 μB/cell. Number 7: ρ 4.47 Mg/m³, spin magnetization 1.00 μB/cell. Number 8: ρ 14.12 Mg/m³, spin magnetization 0.00 μB/cell. Number 9: ρ 9.51 Mg/m³, spin magnetization 0.25 μB/cell. Number 10: ρ 4.78 Mg/m³, spin magnetization 0.00 μB/cell. Number 11: ρ 12.60 Mg/m³, spin magnetization 38.22 μB/cell. Number 12: ρ 6.00 Mg/m³, spin magnetization 0.00 μB/cell.